# 1
First-principles (PBE-GGA) data for crystalline SiRuS2N at its relaxed geometry, as listed in Alexandria via LeMat-Bulk.

## Properties
* size of the total moment: 0.000 Bohr magnetons per cell
* energy relative to the elements, uncorrected: 56.0 kJ/mol of atoms

Cell lengths 4.8046, 4.8046, 3.6477 Å; angles 90.00, 90.00, 90.00 degrees
With the nearest neighbours (Å) after each atom.
Space group P4/mmm (No. 123)
One atom of each set of equivalent atoms:
1 Si 0.0000 0.0000 0.0000 [1 per cell]  8 S 3.02
2 Ru 0.5000 0.5000 0.5000 [1 per cell]  2 N 1.82
3 S 0.0000 0.5000 0.5000 [2 per cell]  2 Ru 2.40
4 N 0.5000 0.5000 0.0000 [1 per cell]  2 Ru 1.82



# 2
First-principles (PBE-GGA) data for crystalline CeCrPt6 at its relaxed geometry, as listed in Alexandria via LeMat-Bulk.

## Properties
* calculated formation energy: -0.31 eV per atom
* size of the total moment: 5.626 Bohr magnetons per cell

Cell lengths 8.9403, 5.3508, 7.2161 Å; angles 90.00, 113.10, 90.00 degrees
With the nearest neighbours (Å) after each atom.
Space group C2/m (No. 12)
One atom of each set of equivalent atoms:
1 Ce 0.0000 0.0000 0.0000 [2 per cell]  10 Pt 2.87-3.20
2 Cr 0.0000 0.5000 0.5000 [2 per cell]  6 Pt 2.57-2.58
3 Pt 0.1975 0.2423 0.7977 [8 per cell]  1 Cr 2.58, 5 Pt 2.59-2.81, 1 Ce 2.87
4 Pt 0.2061 0.0000 0.4765 [4 per cell]  1 Cr 2.57, 6 Pt 2.68-2.81



# 3
First-principles (PBE-GGA) data for crystalline Li4GaPd5 at its relaxed geometry, as listed in Alexandria via LeMat-Bulk.

## Properties
* calculated formation energy: -0.28 eV per atom
* size of the total moment: 0.000 Bohr magnetons per cell

Cell lengths 7.7412, 7.7412, 4.8977 Å; angles 90.00, 90.00, 90.00 degrees
With the nearest neighbours (Å) after each atom.
Space group I4 (No. 79)
One atom of each set of equivalent atoms:
1 Li 0.1381 0.7530 0.0000 [8 per cell]  4 Pd 2.35-2.58
2 Ga 0.0000 0.0000 0.7002 [2 per cell]  2 Pd 2.38-2.51, 4 Li 2.64
3 Pd 0.0000 0.0000 0.2133 [2 per cell]  2 Ga 2.38-2.51, 4 Li 2.43
4 Pd 0.0485 0.6754 0.5074 [8 per cell]  3 Li 2.35-2.58



# 4
First-principles (PBE-GGA) data for crystalline Er5SiBi2 at its relaxed geometry, as listed in Alexandria via LeMat-Bulk.

## Properties
* size of the total moment: 0.298 Bohr magnetons per cell
* energy relative to the elements, uncorrected: -20.1 kJ/mol of atoms

Cell lengths 5.6417, 15.1930, 13.3073 Å; angles 90.00, 90.00, 90.00 degrees
With the nearest neighbours (Å) after each atom.
Space group Cmcm (No. 63)
One atom of each set of equivalent atoms:
1 Er 0.0000 0.0767 0.1160 [8 per cell]  1 Si 2.73, 1 Bi 3.04
2 Er 0.0000 0.2924 0.7500 [4 per cell]  2 Si 2.82, 2 Bi 3.15
3 Er 0.0000 0.3026 0.0546 [8 per cell]  1 Si 2.94, 2 Bi 3.08
4 Si 0.0000 0.2124 0.2500 [4 per cell]  6 Er 2.73-2.94
5 Bi 0.0000 0.1291 0.6047 [8 per cell]  6 Er 3.04-3.38



# 5
First-principles (PBE-GGA) data for crystalline AlZnTe2 at its relaxed geometry, as listed in Alexandria via LeMat-Bulk.

## Properties
* size of the total moment: 0.000 Bohr magnetons per cell
* energy relative to the elements, uncorrected: 24.5 kJ/mol of atoms

Cell lengths 3.6172, 3.6172, 28.9360 Å; angles 90.00, 90.00, 120.00 degrees
With the nearest neighbours (Å) after each atom.
Space group R-3m (No. 166, hexagonal axes)
One atom of each set of equivalent atoms:
1 Al 0.0000 0.0000 0.0000 [3 per cell]  2 Te 3.00
2 Zn 0.0000 0.0000 0.5000 [3 per cell]  6 Te 2.77
3 Te 0.0000 0.0000 0.1035 [6 per cell]  3 Zn 2.77, 1 Al 3.00



# 6
First-principles (PBE-GGA) data for crystalline Nd3Zn2Ni9Ge at its relaxed geometry, as listed in Alexandria via LeMat-Bulk.

## Properties
* calculated formation energy: -0.12 eV per atom
* size of the total moment: 0.000 Bohr magnetons per cell

Cell lengths 5.8783, 5.8783, 8.9847 Å; angles 90.00, 90.00, 120.00 degrees
With the nearest neighbours (Å) after each atom.
Space group P-3m1 (No. 164)
One atom of each set of equivalent atoms:
1 Nd 0.0000 0.0000 0.0000 [1 per cell]  6 Ni 2.94
2 Nd 0.3333 0.6667 0.7062 [2 per cell]  12 Ni 3.01-3.14
3 Zn 0.3333 0.6667 0.1857 [2 per cell]  6 Ni 2.38-2.39
4 Ni 0.0000 0.5000 0.0000 [3 per cell]  2 Zn 2.38
5 Ni 0.2013 0.4026 0.4062 [6 per cell]  1 Ge 2.22, 2 Ni 2.33, 1 Zn 2.39
6 Ge 0.0000 0.0000 0.5000 [1 per cell]  6 Ni 2.22



# 7
First-principles (PBE-GGA) data for crystalline PmPa6 at its relaxed geometry, as listed in Alexandria via LeMat-Bulk.

## Properties
* calculated formation energy: 1.34 eV per atom
* size of the total moment: 13.388 Bohr magnetons per cell

Cell lengths 7.6638, 7.6638, 7.6638 Å; angles 90.00, 90.00, 90.00 degrees
With the nearest neighbours (Å) after each atom.
Space group Im-3m (No. 229)
One atom of each set of equivalent atoms:
1 Pm 0.0000 0.0000 0.0000 [2 per cell]  24 Pa 4.28
2 Pa 0.0000 0.2500 0.5000 [12 per cell]  4 Pa 2.71



# 8
First-principles (PBE-GGA) data for crystalline PrSmZn2In2 at its relaxed geometry, as listed in Alexandria via LeMat-Bulk.

## Properties
* calculated formation energy: -0.45 eV per atom
* size of the total moment: 0.000 Bohr magnetons per cell

Cell lengths 4.7383, 4.7383, 7.5790 Å; angles 90.00, 90.00, 120.00 degrees
With the nearest neighbours (Å) after each atom.
Space group P-3m1 (No. 164)
One atom of each set of equivalent atoms:
1 Pr 0.0000 0.0000 0.0000 [1 per cell]  6 In 3.37, 6 Zn 3.43
2 Sm 0.0000 0.0000 0.5000 [1 per cell]  6 Zn 3.24, 6 In 3.29
3 Zn 0.3333 0.6667 0.2721 [2 per cell]  3 In 2.74
4 In 0.3333 0.6667 0.7407 [2 per cell]  3 Zn 2.74